CaHoPb | PBE-GGA | relaxed

- magnetic moment (μB/atom) = 0.000
- SG = No. 107
- DFT formation energy (eV per atom) = 0.13

a = 9.0607 Å, b = 9.0607 Å, c = 9.0607 Å
α = 157.50°, β = 157.50°, γ = 32.04°
With the nearest neighbours (Å) after each atom.
Sites, in units of the cell vectors:
Ca1 0.0000 0.0000 0.0000  1 Pb 3.13, 1 Ho 3.47
Ho1 0.1991 0.1991 0.0000  4 Pb 3.27, 1 Ca 3.47, 4 Ho 3.54
Pb1 0.8205 0.8205 0.0000  1 Ca 3.13, 4 Ho 3.27